6
Lattice="2.850 0.000 0.000 0.000 6.091 0.000 0.000 0.000 3.917" Properties=species:S:1:pos:R:3 comment="Mn2S (PBE-GGA, relaxed)" dos_ef_per_ev_cell=7.31 formation_energy_uncorrected_ev_per_atom=0.0112 volume_a3_per_atom=11.3 final_energy_ev_per_fu=-22.4 pbc="T T T"
Mn 0.000 1.869 1.958
Mn 0.000 4.222 1.958
Mn 1.425 1.177 0.000
Mn 1.425 4.914 0.000
S 1.425 0.000 1.958
S 0.000 3.045 0.000